Ba2InCo | PBE | relaxed

Lattice parameters (Å, degrees): 6.6937 6.6937 6.6937 145.71 128.80 63.08
Last column: nearest neighbours and their distance in Å.
Fractional coordinates of all 4 atoms:
Ba  0.0000  0.0000  0.0000  4 Co 3.56, 4 Ba 3.58-3.95, 4 In 3.71-3.92
Ba  0.6856  0.1856  0.5000  2 Co 3.38, 2 Ba 3.58, 4 In 3.72
In  0.2964  0.7964  0.5000  2 Co 2.60
Co  0.4451  0.4451  0.0000  2 In 2.60

Output
Mass density, g/cm3: 5.72
Formation enthalpy at 0 K, eV/atom: 0.1274

=====

TiBeSi2Os | PBE | relaxed

Lattice parameters (Å, degrees): 4.5714 4.5714 4.1475 90.00 90.00 90.00
Last column: nearest neighbours and their distance in Å.
Fractional coordinates of all 5 atoms:
Ti  0.0000  0.0000  0.0000  8 Si 3.09, 4 Be 3.23
Be  0.5000  0.5000  0.0000  2 Os 2.07
Si  0.0000  0.5000  0.5000  2 Os 2.29
Si  0.5000  0.0000  0.5000  2 Os 2.29
Os  0.5000  0.5000  0.5000  2 Be 2.07, 4 Si 2.29

Output
Mass density, g/cm3: 5.81
Formation energy from raw total energies, meV/atom: 528

=====

Ce2Sn4Pb | PBE | relaxed

Lattice parameters (Å, degrees): 6.6023 6.6023 6.6507 119.61 119.61 90.10
Last column: nearest neighbours and their distance in Å.
Fractional coordinates of all 7 atoms:
Ce  0.0000  0.5000  0.0000  2 Pb 3.30, 8 Sn 3.33
Ce  0.5000  0.0000  0.0000  2 Pb 3.30, 8 Sn 3.33
Sn  0.0000  0.0000  0.5000  4 Sn 3.30, 2 Pb 3.33, 4 Ce 3.33
Sn  0.0000  0.5000  0.5000  4 Sn 3.30, 4 Ce 3.33, 2 Pb 3.33
Sn  0.5000  0.0000  0.5000  4 Sn 3.30, 4 Ce 3.33, 2 Pb 3.33
Sn  0.5000  0.5000  0.5000  4 Sn 3.30, 4 Ce 3.33, 2 Pb 3.33
Pb  0.0000  0.0000  0.0000  4 Ce 3.30, 8 Sn 3.33

Output
Mass density, g/cm3: 7.71
Formation enthalpy at 0 K, eV/atom: -0.4035

=====

CaTa2 | PBE | relaxed

Lattice parameters (Å, degrees): 2.7421 8.8725 5.2157 90.00 90.00 90.00
Last column: nearest neighbours and their distance in Å.
Fractional coordinates of all 6 atoms:
Ca  0.0000  0.0000  0.0000  2 Ca 2.74, 2 Ta 3.05
Ca  0.5000  0.5000  0.5000  2 Ca 2.74, 2 Ta 3.05
Ta  0.1963  0.3383  0.0000  3 Ta 2.74-3.06, 1 Ca 3.05
Ta  0.3037  0.8383  0.5000  3 Ta 2.74-3.06, 1 Ca 3.05
Ta  0.6963  0.1617  0.5000  3 Ta 2.74-3.06, 1 Ca 3.05
Ta  0.8037  0.6617  0.0000  3 Ta 2.74-3.06, 1 Ca 3.05

Output
Mass density, g/cm3: 10.52
Formation enthalpy at 0 K, eV/atom: 0.7251

=====

CsLi2CeBr6 | PBE | relaxed

Lattice parameters (Å, degrees): 9.6843 9.6843 9.6843 43.32 43.32 43.32
Last column: nearest neighbours and their distance in Å.
Fractional coordinates of all 10 atoms:
Cs  0.0000  0.0000  0.0000  6 Br 3.67
Li  0.1700  0.1700  0.1700  6 Br 2.76-2.88
Li  0.8300  0.8300  0.8300  6 Br 2.76-2.88
Ce  0.5000  0.5000  0.5000  6 Br 2.92
Br  0.0944  0.4424  0.7842  2 Li 2.76-2.88, 1 Ce 2.92
Br  0.2158  0.9056  0.5576  2 Li 2.76-2.88, 1 Ce 2.92
Br  0.4424  0.7842  0.0944  2 Li 2.76-2.88, 1 Ce 2.92
Br  0.5576  0.2158  0.9056  2 Li 2.76-2.88, 1 Ce 2.92
Br  0.7842  0.0944  0.4424  2 Li 2.76-2.88, 1 Ce 2.92
Br  0.9056  0.5576  0.2158  2 Li 2.76-2.88, 1 Ce 2.92

Output
Mass density, g/cm3: 3.28
Formation energy from raw total energies, meV/atom: -1708

=====

LaNbGa2Sb | PBE | relaxed

Lattice parameters (Å, degrees): 5.0167 5.0167 5.2862 90.00 90.00 90.00
Last column: nearest neighbours and their distance in Å.
Fractional coordinates of all 5 atoms:
La  0.0000  0.0000  0.0000  4 Sb 3.55, 8 Ga 3.64
Nb  0.5000  0.5000  0.5000  4 Ga 2.51, 2 Sb 2.64
Ga  0.0000  0.5000  0.5000  2 Nb 2.51
Ga  0.5000  0.0000  0.5000  2 Nb 2.51
Sb  0.5000  0.5000  0.0000  2 Nb 2.64

Output
Mass density, g/cm3: 6.15
Formation energy from raw total energies, meV/atom: -217

=====

TePdCl2 | PBE | relaxed

Lattice parameters (Å, degrees): 8.6097 8.6097 8.6097 24.66 24.66 24.66
Last column: nearest neighbours and their distance in Å.
Fractional coordinates of all 4 atoms:
Te  0.0000  0.0000  0.0000  2 Cl 2.62
Pd  0.5000  0.5000  0.5000  6 Cl 2.63
Cl  0.1048  0.1048  0.1048  1 Te 2.62, 3 Pd 2.63
Cl  0.8952  0.8952  0.8952  1 Te 2.62, 3 Pd 2.63

Output
Mass density, g/cm3: 5.18
Formation energy from raw total energies, meV/atom: -37

=====

Re3SbH | PBE | relaxed

Lattice parameters (Å, degrees): 4.8691 4.8691 4.8691 90.00 90.00 90.00
Last column: nearest neighbours and their distance in Å.
Fractional coordinates of all 5 atoms:
Re  0.0000  0.0000  0.5000  2 Sb 2.43
Re  0.0000  0.5000  0.0000  2 Sb 2.43
Re  0.5000  0.0000  0.0000  2 Sb 2.43
Sb  0.0000  0.0000  0.0000  6 Re 2.43
H  0.5000  0.5000  0.5000  12 Re 3.44

Output
Mass density, g/cm3: 9.80
DFT total energy, eV per atom: -5.542

=====

TiTl3I | PBE | relaxed

Lattice parameters (Å, degrees): 6.2822 6.2822 6.2822 90.00 90.00 90.00
Last column: nearest neighbours and their distance in Å.
Fractional coordinates of all 5 atoms:
Ti  0.0000  0.0000  0.0000  12 Tl 4.44
Tl  0.0000  0.5000  0.5000  2 I 3.14
Tl  0.5000  0.0000  0.5000  2 I 3.14
Tl  0.5000  0.5000  0.0000  2 I 3.14
I  0.5000  0.5000  0.5000  6 Tl 3.14

Output
Mass density, g/cm3: 5.28
Formation energy from raw total energies, meV/atom: 1010

=====

Li6MgZn3 | PBE | relaxed

Lattice parameters (Å, degrees): 10.7713 2.8037 11.4513 90.00 100.14 90.00
Last column: nearest neighbours and their distance in Å.
Fractional coordinates of all 20 atoms:
Li  0.0066  0.2500  0.1843  4 Zn 2.62-2.79, 7 Li 2.80-2.90
Li  0.1479  0.7500  0.3866  4 Zn 2.67-2.96, 8 Li 2.80-2.90
Li  0.2123  0.2500  0.7829  7 Li 2.79-3.08, 3 Zn 2.79-2.84, 2 Mg 3.05
Li  0.2777  0.2500  0.2221  3 Zn 2.76-2.82, 1 Mg 2.80, 5 Li 2.80-2.90
Li  0.3038  0.2500  0.5695  5 Li 2.79-2.82, 5 Zn 2.81-2.95, 2 Mg 3.02
Li  0.3557  0.7500  0.0054  6 Li 2.80-3.09, 2 Zn 2.86, 1 Mg 3.03
Li  0.6443  0.2500  0.9946  6 Li 2.80-3.09, 2 Zn 2.86, 1 Mg 3.03
Li  0.6962  0.7500  0.4305  5 Li 2.79-2.82, 5 Zn 2.81-2.95, 2 Mg 3.02
Li  0.7223  0.7500  0.7779  3 Zn 2.76-2.82, 1 Mg 2.80, 5 Li 2.80-2.90
Li  0.7877  0.7500  0.2171  7 Li 2.79-3.08, 3 Zn 2.79-2.84, 2 Mg 3.05
Li  0.8521  0.2500  0.6134  4 Zn 2.67-2.96, 8 Li 2.80-2.90
Li  0.9934  0.7500  0.8157  4 Zn 2.62-2.79, 7 Li 2.80-2.90
Mg  0.4625  0.7500  0.7773  6 Li 2.80-3.05, 2 Mg 2.80, 2 Zn 2.99
Mg  0.5375  0.2500  0.2227  6 Li 2.80-3.05, 2 Mg 2.80, 2 Zn 2.99
Zn  0.0689  0.7500  0.5952  8 Li 2.67-2.95, 4 Zn 2.79-2.80
Zn  0.1241  0.2500  0.0023  7 Li 2.62-2.86, 2 Zn 2.80
Zn  0.4260  0.7500  0.4100  4 Zn 2.76-2.80, 6 Li 2.81-2.96, 2 Mg 2.99
Zn  0.5740  0.2500  0.5900  4 Zn 2.76-2.80, 6 Li 2.81-2.96, 2 Mg 2.99
Zn  0.8759  0.7500  0.9977  7 Li 2.62-2.86, 2 Zn 2.80
Zn  0.9311  0.2500  0.4048  8 Li 2.67-2.95, 4 Zn 2.79-2.80

Output
Mass density, g/cm3: 2.56
Formation enthalpy at 0 K, eV/atom: -0.0844

=====

Ce2HfGe2 | PBE | relaxed

Lattice parameters (Å, degrees): 7.0465 7.0465 3.7182 90.00 90.00 137.56
Last column: nearest neighbours and their distance in Å.
Fractional coordinates of all 5 atoms:
Ce  0.1614  0.8386  0.0000  6 Ge 3.08-3.16, 2 Hf 3.32
Ce  0.8386  0.1614  0.0000  6 Ge 3.08-3.16, 2 Hf 3.32
Hf  0.5000  0.5000  0.0000  4 Ge 2.73
Ge  0.3482  0.6518  0.5000  2 Hf 2.73
Ge  0.6518  0.3482  0.5000  2 Hf 2.73

Output
Mass density, g/cm3: 8.05
Formation enthalpy at 0 K, eV/atom: -0.3602

=====

Ce6ThO12 | PBE | relaxed

Lattice parameters (Å, degrees): 6.8276 6.8276 6.8276 99.63 99.63 99.63
Last column: nearest neighbours and their distance in Å.
Fractional coordinates of all 19 atoms:
Ce  0.1008  0.8043  0.6395  6 O 2.31-2.48
Ce  0.1957  0.3605  0.8992  6 O 2.31-2.48
Ce  0.3605  0.8992  0.1957  6 O 2.31-2.48
Ce  0.6395  0.1008  0.8043  6 O 2.31-2.48
Ce  0.8043  0.6395  0.1008  6 O 2.31-2.48
Ce  0.8992  0.1957  0.3605  6 O 2.31-2.48
Th  0.5000  0.5000  0.5000  6 O 2.31
O  0.0687  0.9182  0.3222  4 Ce 2.31-2.48
O  0.0818  0.6778  0.9313  4 Ce 2.31-2.48
O  0.1788  0.4272  0.5707  1 Th 2.31, 2 Ce 2.35
O  0.3222  0.0687  0.9182  4 Ce 2.31-2.48
O  0.4272  0.5707  0.1788  1 Th 2.31, 2 Ce 2.35
O  0.4293  0.8212  0.5728  1 Th 2.31, 2 Ce 2.35
O  0.5707  0.1788  0.4272  1 Th 2.31, 2 Ce 2.35
O  0.5728  0.4293  0.8212  1 Th 2.31, 2 Ce 2.35
O  0.6778  0.9313  0.0818  4 Ce 2.31-2.48
O  0.8212  0.5728  0.4293  1 Th 2.31, 2 Ce 2.35
O  0.9182  0.3222  0.0687  4 Ce 2.31-2.48
O  0.9313  0.0818  0.6778  4 Ce 2.31-2.48

Output
Mass density, g/cm3: 6.93
Formation energy from raw total energies, meV/atom: -3504